# 1
The following is a PBE calculation of a geometry-optimized BaPrTe3Au structure, from OQMD via LeMat-Bulk.

Cell: 8.772 4.559 10.923 Å, 90.00 105.42 90.00°
Space group P2_1/m (No. 11)
Unique sites:
Ba1 0.242 0.250 0.296 x2
Pr1 0.304 0.750 0.840 x2
Te1 0.053 0.250 0.851 x2
Te2 0.258 0.750 0.543 x2
Te3 0.434 0.750 0.145 x2
Au1 0.100 0.250 0.610 x2

Results
Theoretical density (Mg/m³): 6.77
Total magnetic moment (μB/f.u.): 0.0
Raw total energy (eV/f.u.): -26.81

# 2
The following is a PBE calculation of a geometry-optimized BaPrTe3Au structure, from OQMD via LeMat-Bulk.

Cell: 20.341 4.563 9.180 Å, 90.00 101.18 90.00°
Space group C2/m (No. 12)
Unique sites:
Ba1 0.126 0.000 0.080 x4
Pr1 0.162 0.000 0.594 x4
Te1 0.000 0.000 0.500 x2
Te2 0.000 0.500 0.000 x2
Te3 0.175 0.500 0.362 x4
Te4 0.185 0.500 0.843 x4
Au1 0.050 0.500 0.710 x4

Results
Theoretical density (Mg/m³): 6.82
Total magnetic moment (μB/f.u.): 0.0
Raw total energy (eV/f.u.): -26.51

# 3
The following is a PBE calculation of a geometry-optimized Ba6PtAu2 structure, from OQMD via LeMat-Bulk.

Cell: 7.892 8.534 13.677 Å, 90.00 120.12 90.00°
Space group P2_1/c (No. 14)
Unique sites:
Ba1 0.077 0.055 0.242 x4
Ba2 0.252 0.688 0.083 x4
Ba3 0.383 0.180 0.064 x4
Pt1 0.000 0.000 0.000 x2
Au1 0.326 0.112 0.774 x4

Results
Theoretical density (Mg/m³): 5.89
Total magnetic moment (μB/f.u.): 0.0
Raw total energy (eV/f.u.): -29.20

Which formula does entry 1 have? BaPrTe3Au

Among the records above, which one has the highest raw total energy? number 2

Look up the raw total energy of the second one. -26.51 eV/f.u.